Record 1
First-principles (PBE) data for a relaxed structure of Dy2ScCd4, as listed in Alexandria via LeMat-Bulk.

Properties
DFT formation energy ... -11.3 kJ per mole of atoms
Final energy ... -20.0 eV/cell
SG ... R-3m

a b c (Å): 8.903 8.903 8.903
angles (deg): 33.23 33.23 33.23
Fractional positions:
Dy1 0.250 0.250 0.250
Dy2 0.750 0.750 0.750
Sc1 0.000 0.000 0.000
Cd1 0.126 0.126 0.126
Cd2 0.376 0.376 0.376
Cd3 0.624 0.624 0.624
Cd4 0.874 0.874 0.874

Record 2
First-principles (PBE) data for a relaxed structure of Ga2CoRu, as listed in Alexandria via LeMat-Bulk.

Properties
DFT formation energy ... 20.6 kJ per mole of atoms
Final energy ... -43.2 eV/cell
SG ... I-42d

a b c (Å): 5.386 5.386 5.386
angles (deg): 104.39 104.39 120.19
Fractional positions:
Ga1 0.107 0.625 0.982
Ga2 0.375 0.357 0.482
Ga3 0.643 0.125 0.018
Ga4 0.875 0.893 0.518
Co1 0.000 0.000 0.000
Co2 0.750 0.250 0.500
Ru1 0.250 0.750 0.500
Ru2 0.500 0.500 0.000

Record 3
First-principles (PBE) data for a relaxed structure of PuPaSiGe, as listed in Alexandria via LeMat-Bulk.

Properties
Raw formation energy ... -428 meV per atom
Final energy ... -35.6 eV/cell
SG ... Amm2

a b c (Å): 3.865 5.755 5.755
angles (deg): 43.82 90.00 90.00
Fractional positions:
Pu1 0.000 0.000 0.000
Pa1 0.500 0.289 0.289
Si1 0.000 0.725 0.725
Ge1 0.500 0.572 0.572

Record 4
First-principles (PBE) data for a relaxed structure of CaCd2PdCl, as listed in Alexandria via LeMat-Bulk.

Properties
Raw formation energy ... -552 meV per atom
Final energy ... -13.6 eV/cell
SG ... P4/mmm

a b c (Å): 5.180 5.180 5.532
angles (deg): 90.00 90.00 90.00
Fractional positions:
Ca1 0.000 0.000 0.000
Cd1 0.000 0.500 0.500
Cd2 0.500 0.000 0.500
Pd1 0.000 0.000 0.500
Cl1 0.500 0.500 0.000